# MgV2Pt2 PBE optimized geometry
# - Size of the total moment: 0.0 μB per cell
# - Electronic total energy: -6.765 eV/atom
# - Energy above the lowest structure with this stoichiometry: 27 meV/atom
# - Formation energy from the elements: -1.91 eV per formula unit
data_MgV2Pt2
_cell_length_a 7.577
_cell_length_b 7.577
_cell_length_c 2.770
_cell_angle_alpha 90.00
_cell_angle_beta 90.00
_cell_angle_gamma 90.00
_symmetry_space_group_name_H-M 'P 4/m b m'
_symmetry_Int_Tables_number 127
_symmetry_space_group_name_Hall '-P 4 2ab'
loop_
_atom_site_label
_atom_site_fract_x
_atom_site_fract_y
_atom_site_fract_z
Mg1 0.000 0.000 0.000
V1 0.165 0.335 0.500
Pt1 0.131 0.631 0.000